The following is a DFT calculation (PBE) of an optimized crystal structure of CdSbMo2.

Cell and atoms, written as POSCAR:
```
CdSbMo2
1.0
1.5765 0.9102 9.4391
-1.5765 0.9102 9.4391
0.0000 -1.8204 9.4391
Cd Sb Mo
1 1 2
direct
0.0000 0.0000 0.0000 Cd
0.2304 0.2304 0.2304 Sb
0.4823 0.4823 0.4823 Mo
0.7524 0.7524 0.7524 Mo
```

The calculation puts the density at 8705 kg/m3. The uncorrected formation energy comes out at 0.273 eV per atom. The total magnetization is 0.00 μB/f.u. The space-group type is No. 160. The calculation puts the volume at 81.3 Å³ per cell. As for the final energy: -25.61 eV per cell.


The following is a DFT calculation (PBE) of an optimized crystal structure of AcSbRh3.

Cell and atoms, written as POSCAR:
```
AcSbRh3
1.0
-2.8182 4.3728 4.4156
2.8182 -4.3728 4.4156
2.8182 4.3728 -4.4156
Ac Sb Rh
2 2 6
direct
0.2841 0.0341 0.2500 Ac
0.7159 0.9659 0.7500 Ac
0.0000 0.5000 0.5000 Sb
0.5000 0.5000 0.0000 Sb
0.0762 0.3262 0.7500 Rh
0.2518 0.0000 0.7518 Rh
0.2518 0.5000 0.2518 Rh
0.7482 0.0000 0.2482 Rh
0.7482 0.5000 0.7482 Rh
0.9238 0.6738 0.2500 Rh
```

The calculation puts the density at 10032 kg/m3. The uncorrected formation energy comes out at -0.561 eV per atom. The total magnetization is 0.00 μB/f.u. The space-group type is No. 74. The calculation puts the volume at 217.7 Å³ per cell. As for the final energy: -66.18 eV per cell.


The following is a DFT calculation (PBE) of an optimized crystal structure of NiSe2Br.

Cell and atoms, written as POSCAR:
```
NiSe2Br
1.0
-2.7618 2.7618 2.6402
2.7618 -2.7618 2.6402
2.7618 2.7618 -2.6402
Ni Se Br
1 2 1
direct
0.0000 0.0000 0.0000 Ni
0.0000 0.5000 0.5000 Se
0.5000 0.0000 0.5000 Se
0.5000 0.5000 0.0000 Br
```

The calculation puts the density at 6112 kg/m3. The uncorrected formation energy comes out at 0.328 eV per atom. The total magnetization is 0.00 μB/f.u. The space-group type is No. 139. The calculation puts the volume at 80.6 Å³ per cell. As for the final energy: -13.11 eV per cell.


The following is a DFT calculation (PBE) of an optimized crystal structure of Nd3Dy5Bi8.

Cell and atoms, written as POSCAR:
```
Nd3Dy5Bi8
1.0
4.5291 2.6149 7.3905
-4.5291 2.6149 7.3905
0.0000 -5.2298 7.3905
Nd Dy Bi
3 5 8
direct
0.0000 0.5000 0.5000 Nd
0.5000 0.0000 0.5000 Nd
0.5000 0.5000 0.0000 Nd
0.0000 0.0000 0.0000 Dy
0.0000 0.0000 0.5000 Dy
0.0000 0.5000 0.0000 Dy
0.5000 0.0000 0.0000 Dy
0.5000 0.5000 0.5000 Dy
0.2442 0.7500 0.7500 Bi
0.2471 0.2471 0.2471 Bi
0.2500 0.2500 0.7558 Bi
0.2500 0.7558 0.2500 Bi
0.7500 0.2442 0.7500 Bi
0.7500 0.7500 0.2442 Bi
0.7529 0.7529 0.7529 Bi
0.7558 0.2500 0.2500 Bi
```

The calculation puts the density at 9224 kg/m3. The total magnetization is 0.00 μB/f.u. The space-group type is No. 166. As for the formation energy from the elements: -0.889 eV per atom. The calculation puts the volume at 525.2 Å³ per cell. As for the final energy: -82.58 eV per cell.


The following is a DFT calculation (PBE) of an optimized crystal structure of Mg3ZnAg5.

Cell and atoms, written as POSCAR:
```
Mg3ZnAg5
1.0
-3.9700 3.9700 5.6042
3.9700 -3.9700 5.6042
3.9700 3.9700 -5.6042
Mg Zn Ag
6 2 10
direct
0.1188 0.6188 0.7377 Mg
0.2500 0.2500 0.0000 Mg
0.3812 0.1188 0.5000 Mg
0.6188 0.8812 0.5000 Mg
0.7500 0.7500 0.0000 Mg
0.8812 0.3812 0.2623 Mg
0.2500 0.7500 0.5000 Zn
0.7500 0.2500 0.5000 Zn
0.0000 0.0000 0.0000 Ag
0.0594 0.1718 0.5000 Ag
0.1718 0.6718 0.1124 Ag
0.3282 0.4406 0.5000 Ag
0.4406 0.9406 0.1124 Ag
0.5000 0.5000 0.0000 Ag
0.5594 0.0594 0.8876 Ag
0.6718 0.5594 0.5000 Ag
0.8282 0.3282 0.8876 Ag
0.9406 0.8282 0.5000 Ag
```

The calculation puts the density at 6370 kg/m3. The total magnetization is 0.00 μB/f.u. The space-group type is No. 140. As for the formation energy from the elements: 0.044 eV per atom. The calculation puts the volume at 353.3 Å³ per cell. As for the final energy: -39.83 eV per cell.


The following is a DFT calculation (PBE) of an optimized crystal structure of SrPtPb3.

Cell and atoms, written as POSCAR:
```
SrPtPb3
1.0
5.5041 0.0000 0.0000
0.0000 5.5041 0.0000
0.0000 0.0000 5.5041
Sr Pt Pb
1 1 3
direct
0.0000 0.0000 0.0000 Sr
0.5000 0.5000 0.5000 Pt
0.0000 0.5000 0.5000 Pb
0.5000 0.0000 0.5000 Pb
0.5000 0.5000 0.0000 Pb
```

The calculation puts the density at 9006 kg/m3. The total magnetization is 0.00 μB/f.u. The space-group type is No. 221. As for the formation energy from the elements: -0.103 eV per atom. The calculation puts the volume at 166.7 Å³ per cell. As for the final energy: -19.36 eV per cell.


The following is a DFT calculation (PBE) of an optimized crystal structure of PrY2I6.

Cell and atoms, written as POSCAR:
```
PrY2I6
1.0
8.7146 -2.0988 0.0000
8.7146 2.0988 0.0000
-5.3251 0.0000 10.3331
Pr Y I
1 2 6
direct
0.0000 0.0000 0.0000 Pr
0.3501 0.3501 0.6954 Y
0.6499 0.6499 0.3046 Y
0.0173 0.0173 0.2908 I
0.2988 0.2988 0.3925 I
0.3475 0.3475 0.9527 I
0.6525 0.6525 0.0473 I
0.7012 0.7012 0.6075 I
0.9827 0.9827 0.7092 I
```

The calculation puts the density at 4745 kg/m3. The uncorrected formation energy comes out at -1.268 eV per atom. The total magnetization is 0.00 μB/f.u. The space-group type is No. 12. The calculation puts the volume at 378.0 Å³ per cell. As for the final energy: -38.42 eV per cell.


The following is a DFT calculation (PBE) of an optimized crystal structure of SmY2TmAs4.

Cell and atoms, written as POSCAR:
```
SmY2TmAs4
1.0
7.1555 0.0000 0.0000
0.0000 4.1344 0.0000
-2.3856 0.0000 6.7478
Sm Y Tm As
1 2 1 4
direct
0.0000 0.0000 0.0000 Sm
0.0000 0.5000 0.5000 Y
0.5000 0.0000 0.5000 Y
0.5000 0.5000 0.0000 Tm
0.2546 0.0000 0.7510 As
0.2550 0.5000 0.2521 As
0.7454 0.0000 0.2490 As
0.7450 0.5000 0.7479 As
```

The calculation puts the density at 6628 kg/m3. The total magnetization is 0.00 μB/f.u. The space-group type is No. 10. As for the formation energy from the elements: -1.532 eV per atom. The calculation puts the volume at 199.6 Å³ per cell. As for the final energy: -52.97 eV per cell.